# SCAN ZnCd2Ag, PBEsol geometry
# **Calculated formation energy**: 0.03 eV/atom
# **DFT total energy**: -105.59 eV for the cell shown
data_ZnCd2Ag
_chemical_formula_sum 'Zn1 Cd2 Ag1'
_cell_length_a 3.015
_cell_length_b 3.015
_cell_length_c 7.745
_cell_angle_alpha 90.00
_cell_angle_beta 90.00
_cell_angle_gamma 90.00
_symmetry_space_group_name_H-M 'P 4/m m m'
_symmetry_Int_Tables_number 123
_symmetry_space_group_name_Hall '-P 4 2'
loop_
_atom_site_label
_atom_site_type_symbol
_atom_site_fract_x
_atom_site_fract_y
_atom_site_fract_z
Zn1 Zn 0.000 0.000 0.000
Cd1 Cd 0.500 0.500 0.242
Ag1 Ag 0.000 0.000 0.500

# SCAN AlCu4Si, PBEsol geometry
# **DFT total energy**: -317.07 eV for the cell shown
# **Formation energy (no corrections)**: -0.12 eV per atom
data_AlCu4Si
_chemical_formula_sum 'Al4 Cu16 Si4'
_cell_length_a 3.536
_cell_length_b 17.226
_cell_length_c 4.962
_cell_angle_alpha 90.00
_cell_angle_beta 90.00
_cell_angle_gamma 90.00
_symmetry_space_group_name_H-M 'C m c m'
_symmetry_Int_Tables_number 63
_symmetry_space_group_name_Hall '-C 2c 2'
loop_
_atom_site_label
_atom_site_type_symbol
_atom_site_fract_x
_atom_site_fract_y
_atom_site_fract_z
Al1 Al 0.000 0.228 0.250
Cu1 Cu 0.000 0.075 0.250
Cu2 Cu 0.000 0.352 0.001
Cu3 Cu 0.000 0.500 0.000
Si1 Si 0.000 0.078 0.750

# SCAN Sc2FeMo, PBEsol geometry
# **Calculated formation energy**: 0.08 eV/atom
# **E above lowest polymorph**: 0.0 meV/atom
# **DFT total energy**: -81.18 eV for the cell shown
data_Sc2FeMo
_chemical_formula_sum 'Sc2 Fe1 Mo1'
_cell_length_a 2.943
_cell_length_b 2.943
_cell_length_c 8.084
_cell_angle_alpha 90.00
_cell_angle_beta 90.00
_cell_angle_gamma 90.00
_symmetry_space_group_name_H-M 'P 4 m m'
_symmetry_Int_Tables_number 99
loop_
_symmetry_equiv_pos_as_xyz
'x,y,z'
'-y,x,z'
'-x,-y,z'
'y,-x,z'
'-x,y,z'
'y,x,z'
'x,-y,z'
'-y,-x,z'
loop_
_atom_site_label
_atom_site_type_symbol
_atom_site_fract_x
_atom_site_fract_y
_atom_site_fract_z
Sc1 Sc 0.000 0.000 0.000
Sc2 Sc 0.500 0.500 0.364
Fe1 Fe 0.000 0.000 0.582
Mo1 Mo 0.500 0.500 0.747

# SCAN La2TcCl, PBEsol geometry
# **E above lowest polymorph**: 196.7 meV/atom
# **DFT total energy**: -396.25 eV for the cell shown
# **Formation energy (no corrections)**: -0.71 eV per atom
data_La2TcCl
_chemical_formula_sum 'La6 Tc3 Cl3'
_cell_length_a 3.6636
_cell_length_b 3.6636
_cell_length_c 25.7649
_cell_angle_alpha 90.00
_cell_angle_beta 90.00
_cell_angle_gamma 120.00
_symmetry_space_group_name_H-M 'R -3 m'
_symmetry_Int_Tables_number 166
_symmetry_space_group_name_Hall '-R 3 2"'
loop_
_atom_site_label
_atom_site_type_symbol
_atom_site_fract_x
_atom_site_fract_y
_atom_site_fract_z
La1 La 0.0000 0.0000 0.2432
Tc1 Tc 0.0000 0.0000 0.5000
Cl1 Cl 0.0000 0.0000 0.0000

# SCAN Sr2FeI2, PBEsol geometry
# **DFT total energy**: -275.24 eV for the cell shown
# **Formation energy (no corrections)**: -0.29 eV per atom
data_Sr2FeI2
_chemical_formula_sum 'Sr4 Fe2 I4'
_cell_length_a 5.215
_cell_length_b 5.215
_cell_length_c 15.517
_cell_angle_alpha 90.00
_cell_angle_beta 90.00
_cell_angle_gamma 90.00
_symmetry_space_group_name_H-M 'I 4/m m m'
_symmetry_Int_Tables_number 139
_symmetry_space_group_name_Hall '-I 4 2'
loop_
_atom_site_label
_atom_site_type_symbol
_atom_site_fract_x
_atom_site_fract_y
_atom_site_fract_z
Sr1 Sr 0.000 0.000 0.123
Fe1 Fe 0.000 0.000 0.500
I1 I 0.000 0.500 0.250

# SCAN FeHgP2S, PBEsol geometry
# **DFT total energy**: -108.72 eV for the cell shown
# **Formation energy (no corrections)**: 1.60 eV per atom
data_FeHgP2S
_chemical_formula_sum 'Fe1 Hg1 P2 S1'
_cell_length_a 4.858
_cell_length_b 4.858
_cell_length_c 4.900
_cell_angle_alpha 90.00
_cell_angle_beta 90.00
_cell_angle_gamma 90.00
_symmetry_space_group_name_H-M 'P 4/m m m'
_symmetry_Int_Tables_number 123
_symmetry_space_group_name_Hall '-P 4 2'
loop_
_atom_site_label
_atom_site_type_symbol
_atom_site_fract_x
_atom_site_fract_y
_atom_site_fract_z
Fe1 Fe 0.000 0.000 0.000
Hg1 Hg 0.500 0.500 0.500
P1 P 0.000 0.500 0.500
S1 S 0.500 0.500 0.000

# SCAN Mg2ZnNi, PBEsol geometry
# **Calculated formation energy**: -0.10 eV/atom
# **DFT total energy**: -160.16 eV for the cell shown
data_Mg2ZnNi
_chemical_formula_sum 'Mg8 Zn4 Ni4'
_cell_length_a 6.196
_cell_length_b 6.196
_cell_length_c 6.196
_cell_angle_alpha 90.00
_cell_angle_beta 90.00
_cell_angle_gamma 90.00
_symmetry_space_group_name_H-M 'F -4 3 m'
_symmetry_Int_Tables_number 216
_symmetry_space_group_name_Hall 'F -4 2 3'
loop_
_atom_site_label
_atom_site_type_symbol
_atom_site_fract_x
_atom_site_fract_y
_atom_site_fract_z
Mg1 Mg 0.000 0.000 0.000
Mg2 Mg 0.250 0.250 0.250
Zn1 Zn 0.000 0.000 0.500
Ni1 Ni 0.250 0.250 0.750

# SCAN SrInSi2, PBEsol geometry
# **DFT total energy**: -75.23 eV for the cell shown
# **Formation energy (no corrections)**: 0.12 eV per atom
data_SrInSi2
_chemical_formula_sum 'Sr1 In1 Si2'
_cell_length_a 4.552
_cell_length_b 4.552
_cell_length_c 4.197
_cell_angle_alpha 90.00
_cell_angle_beta 90.00
_cell_angle_gamma 90.00
_symmetry_space_group_name_H-M 'P 4/m m m'
_symmetry_Int_Tables_number 123
_symmetry_space_group_name_Hall '-P 4 2'
loop_
_atom_site_label
_atom_site_type_symbol
_atom_site_fract_x
_atom_site_fract_y
_atom_site_fract_z
Sr1 Sr 0.000 0.000 0.000
In1 In 0.500 0.500 0.000
Si1 Si 0.000 0.500 0.500

# SCAN MgAsPb2, PBEsol geometry
# **Calculated formation energy**: 0.08 eV/atom
# **E above lowest polymorph**: 204.0 meV/atom
# **DFT total energy**: -352.85 eV for the cell shown
data_MgAsPb2
_chemical_formula_sum 'Mg2 As2 Pb4'
_cell_length_a 6.973
_cell_length_b 8.526
_cell_length_c 3.336
_cell_angle_alpha 90.00
_cell_angle_beta 90.00
_cell_angle_gamma 90.00
_symmetry_space_group_name_H-M 'C m m m'
_symmetry_Int_Tables_number 65
_symmetry_space_group_name_Hall '-C 2 2'
loop_
_atom_site_label
_atom_site_type_symbol
_atom_site_fract_x
_atom_site_fract_y
_atom_site_fract_z
Mg1 Mg 0.000 0.000 0.000
As1 As 0.000 0.500 0.000
Pb1 Pb 0.250 0.250 0.500

# SCAN Rb2NiGePd, PBEsol geometry
# **Calculated formation energy**: 0.83 eV/atom
# **DFT total energy**: -105.35 eV for the cell shown
data_Rb2NiGePd
_chemical_formula_sum 'Rb2 Ni1 Ge1 Pd1'
_cell_length_a 5.999
_cell_length_b 5.999
_cell_length_c 4.546
_cell_angle_alpha 90.00
_cell_angle_beta 90.00
_cell_angle_gamma 90.00
_symmetry_space_group_name_H-M 'P 4/m m m'
_symmetry_Int_Tables_number 123
_symmetry_space_group_name_Hall '-P 4 2'
loop_
_atom_site_label
_atom_site_type_symbol
_atom_site_fract_x
_atom_site_fract_y
_atom_site_fract_z
Rb1 Rb 0.000 0.500 0.000
Ni1 Ni 0.000 0.000 0.000
Ge1 Ge 0.500 0.500 0.500
Pd1 Pd 0.000 0.000 0.500

# SCAN Sr3CaAl, PBEsol geometry
# **Calculated formation energy**: 0.97 eV/atom
# **DFT total energy**: -79.39 eV for the cell shown
data_Sr3CaAl
_chemical_formula_sum 'Sr3 Ca1 Al1'
_cell_length_a 6.329
_cell_length_b 6.329
_cell_length_c 6.329
_cell_angle_alpha 90.00
_cell_angle_beta 90.00
_cell_angle_gamma 90.00
_symmetry_space_group_name_H-M 'P m -3 m'
_symmetry_Int_Tables_number 221
_symmetry_space_group_name_Hall '-P 4 2 3'
loop_
_atom_site_label
_atom_site_type_symbol
_atom_site_fract_x
_atom_site_fract_y
_atom_site_fract_z
Sr1 Sr 0.000 0.000 0.500
Ca1 Ca 0.000 0.000 0.000
Al1 Al 0.500 0.500 0.500

# SCAN BiP2AuCl, PBEsol geometry
# **DFT total energy**: -170.60 eV for the cell shown
# **Formation energy (no corrections)**: 1.18 eV per atom
data_BiP2AuCl
_chemical_formula_sum 'Bi1 P2 Au1 Cl1'
_cell_length_a 5.240
_cell_length_b 5.240
_cell_length_c 5.114
_cell_angle_alpha 90.00
_cell_angle_beta 90.00
_cell_angle_gamma 90.00
_symmetry_space_group_name_H-M 'P 4/m m m'
_symmetry_Int_Tables_number 123
_symmetry_space_group_name_Hall '-P 4 2'
loop_
_atom_site_label
_atom_site_type_symbol
_atom_site_fract_x
_atom_site_fract_y
_atom_site_fract_z
Bi1 Bi 0.000 0.000 0.000
P1 P 0.000 0.500 0.000
Au1 Au 0.500 0.500 0.500
Cl1 Cl 0.000 0.000 0.500

# SCAN In2HgBr, PBEsol geometry
# **E above lowest polymorph**: 0.0 meV/atom
# **DFT total energy**: -155.50 eV for the cell shown
# **Formation energy (no corrections)**: -0.28 eV per atom
data_In2HgBr
_chemical_formula_sum 'In2 Hg1 Br1'
_cell_length_a 4.931
_cell_length_b 5.966
_cell_length_c 3.666
_cell_angle_alpha 90.00
_cell_angle_beta 90.00
_cell_angle_gamma 90.00
_symmetry_space_group_name_H-M 'P m m 2'
_symmetry_Int_Tables_number 25
loop_
_symmetry_equiv_pos_as_xyz
'x,y,z'
'-x,-y,z'
'-x,y,z'
'x,-y,z'
loop_
_atom_site_label
_atom_site_type_symbol
_atom_site_fract_x
_atom_site_fract_y
_atom_site_fract_z
In1 In 0.000 0.000 0.000
In2 In 0.500 0.500 0.497
Hg1 Hg 0.500 0.000 0.500
Br1 Br 0.000 0.500 0.997

# SCAN SrInSb, PBEsol geometry
# **DFT total energy**: -375.74 eV for the cell shown
# **Formation energy (no corrections)**: -0.34 eV per atom
data_SrInSb
_chemical_formula_sum 'Sr4 In4 Sb4'
_cell_length_a 7.489
_cell_length_b 7.489
_cell_length_c 7.489
_cell_angle_alpha 90.00
_cell_angle_beta 90.00
_cell_angle_gamma 90.00
_symmetry_space_group_name_H-M 'F -4 3 m'
_symmetry_Int_Tables_number 216
_symmetry_space_group_name_Hall 'F -4 2 3'
loop_
_atom_site_label
_atom_site_type_symbol
_atom_site_fract_x
_atom_site_fract_y
_atom_site_fract_z
Sr1 Sr 0.000 0.000 0.000
In1 In 0.250 0.250 0.250
Sb1 Sb 0.250 0.250 0.750